# 1
Below is a geometry-optimized Cd2P2Ir structure, with properties calculated at the PBE level.

Summary:
Energy of formation, meV per atom: -115
Spin magnetization, μB per formula unit: 0.00

Cell and atoms, written as CIF:
```
data_Cd2P2Ir
_symmetry_space_group_name_H-M 'P 4/m b m'
_symmetry_Int_Tables_number 127
_symmetry_space_group_name_Hall '-P 4 2ab'
_cell_length_a 5.8810
_cell_length_b 5.8810
_cell_length_c 5.5752
_cell_angle_alpha 90.00
_cell_angle_beta 90.00
_cell_angle_gamma 90.00
loop_
_atom_site_label
_atom_site_type_symbol
_atom_site_fract_x
_atom_site_fract_y
_atom_site_fract_z
Cd1 Cd 0.1824 0.3176 0.0000
P1 P 0.1299 0.6299 0.5000
Ir1 Ir 0.0000 0.0000 0.5000
```


# 2
Below is a geometry-optimized CdPIr2 structure, with properties calculated at the PBE level.

Summary:
Relative energy among the computed polymorphs, eV/atom: 0.448
Energy of formation, meV per atom: 357
Spin magnetization, μB per formula unit: 0.00

Cell and atoms, written as CIF:
```
data_CdPIr2
_symmetry_space_group_name_H-M 'P 4/m m m'
_symmetry_Int_Tables_number 123
_symmetry_space_group_name_Hall '-P 4 2'
_cell_length_a 4.2796
_cell_length_b 4.2796
_cell_length_c 3.3564
_cell_angle_alpha 90.00
_cell_angle_beta 90.00
_cell_angle_gamma 90.00
loop_
_atom_site_label
_atom_site_type_symbol
_atom_site_fract_x
_atom_site_fract_y
_atom_site_fract_z
Cd1 Cd 0.0000 0.0000 0.0000
P1 P 0.5000 0.5000 0.0000
Ir1 Ir 0.0000 0.5000 0.5000
```


# 3
Below is a geometry-optimized CdPIr2 structure, with properties calculated at the PBE level.

Summary:
Relative energy among the computed polymorphs, eV/atom: 0.000
Energy of formation, meV per atom: -91
Spin magnetization, μB per formula unit: 0.00

Cell and atoms, written as CIF:
```
data_CdPIr2
_symmetry_space_group_name_H-M 'R -3 m'
_symmetry_Int_Tables_number 166
_symmetry_space_group_name_Hall '-R 3 2"'
_cell_length_a 2.9250
_cell_length_b 2.9250
_cell_length_c 25.0459
_cell_angle_alpha 90.00
_cell_angle_beta 90.00
_cell_angle_gamma 120.00
loop_
_atom_site_label
_atom_site_type_symbol
_atom_site_fract_x
_atom_site_fract_y
_atom_site_fract_z
Cd1 Cd 0.0000 0.0000 0.0000
P1 P 0.0000 0.0000 0.5000
Ir1 Ir 0.0000 0.0000 0.2350
```


# 4
Below is a geometry-optimized Cd2PIr structure, with properties calculated at the PBE level.

Summary:
Energy of formation, meV per atom: 317
Spin magnetization, μB per formula unit: 0.00

Cell and atoms, written as CIF:
```
data_Cd2PIr
_symmetry_space_group_name_H-M 'P m m m'
_symmetry_Int_Tables_number 47
_symmetry_space_group_name_Hall '-P 2 2'
_cell_length_a 3.6772
_cell_length_b 3.6952
_cell_length_c 5.2453
_cell_angle_alpha 90.00
_cell_angle_beta 90.00
_cell_angle_gamma 90.00
loop_
_atom_site_label
_atom_site_type_symbol
_atom_site_fract_x
_atom_site_fract_y
_atom_site_fract_z
Cd1 Cd 0.0000 0.0000 0.2482
P1 P 0.5000 0.5000 0.5000
Ir1 Ir 0.5000 0.5000 0.0000
```


# 5
Below is a geometry-optimized Cd2PIr structure, with properties calculated at the PBE level.

Summary:
Energy of formation, meV per atom: -53
Spin magnetization, μB per formula unit: 0.00

Cell and atoms, written as CIF:
```
data_Cd2PIr
_symmetry_space_group_name_H-M 'P 4 m m'
_symmetry_Int_Tables_number 99
_symmetry_space_group_name_Hall 'P 4 -2'
_cell_length_a 2.9730
_cell_length_b 2.9730
_cell_length_c 8.4731
_cell_angle_alpha 90.00
_cell_angle_beta 90.00
_cell_angle_gamma 90.00
loop_
_atom_site_label
_atom_site_type_symbol
_atom_site_fract_x
_atom_site_fract_y
_atom_site_fract_z
Cd1 Cd 0.0000 0.0000 0.0000
Cd2 Cd 0.5000 0.5000 0.2848
P1 P 0.5000 0.5000 0.6880
Ir1 Ir 0.0000 0.0000 0.5424
```


# 6
Below is a geometry-optimized CdPIr2 structure, with properties calculated at the PBE level.

Summary:
Relative energy among the computed polymorphs, eV/atom: 0.579
Energy of formation, meV per atom: 487
Spin magnetization, μB per formula unit: 0.00

Cell and atoms, written as CIF:
```
data_CdPIr2
_symmetry_space_group_name_H-M 'I -4 m 2'
_symmetry_Int_Tables_number 119
_symmetry_space_group_name_Hall 'I -4 -2'
_cell_length_a 3.8601
_cell_length_b 3.8601
_cell_length_c 8.4150
_cell_angle_alpha 90.00
_cell_angle_beta 90.00
_cell_angle_gamma 90.00
loop_
_atom_site_label
_atom_site_type_symbol
_atom_site_fract_x
_atom_site_fract_y
_atom_site_fract_z
Cd1 Cd 0.0000 0.0000 0.0000
P1 P 0.0000 0.5000 0.2500
Ir1 Ir 0.0000 0.0000 0.5000
Ir2 Ir 0.0000 0.5000 0.7500
```


# 7
Below is a geometry-optimized Cd2PIr structure, with properties calculated at the PBE level.

Summary:
Energy of formation, meV per atom: -53
Spin magnetization, μB per formula unit: 0.00

Cell and atoms, written as CIF:
```
data_Cd2PIr
_symmetry_space_group_name_H-M 'P 1 m 1'
_symmetry_Int_Tables_number 6
_symmetry_space_group_name_Hall 'P -2y'
_cell_length_a 4.2545
_cell_length_b 3.5649
_cell_length_c 5.4579
_cell_angle_alpha 90.00
_cell_angle_beta 112.41
_cell_angle_gamma 90.00
loop_
_atom_site_label
_atom_site_type_symbol
_atom_site_fract_x
_atom_site_fract_y
_atom_site_fract_z
Cd1 Cd 0.0000 0.0000 0.0000
Cd2 Cd 0.3064 0.5000 0.6145
P1 P 0.5781 0.5000 0.1594
Ir1 Ir 0.7198 0.0000 0.4349
```


# 8
Below is a geometry-optimized CdPIr structure, with properties calculated at the PBE level.

Summary:
Energy of formation, meV per atom: -88
Spin magnetization, μB per formula unit: 0.00

Cell and atoms, written as CIF:
```
data_CdPIr
_symmetry_space_group_name_H-M 'I 4 m m'
_symmetry_Int_Tables_number 107
_symmetry_space_group_name_Hall 'I 4 -2'
_cell_length_a 2.9391
_cell_length_b 2.9391
_cell_length_c 12.1147
_cell_angle_alpha 90.00
_cell_angle_beta 90.00
_cell_angle_gamma 90.00
loop_
_atom_site_label
_atom_site_type_symbol
_atom_site_fract_x
_atom_site_fract_y
_atom_site_fract_z
Cd1 Cd 0.0000 0.0000 0.0000
P1 P 0.0000 0.0000 0.2860
Ir1 Ir 0.0000 0.0000 0.6814
```


# 9
Below is a geometry-optimized CdPIr2 structure, with properties calculated at the PBE level.

Summary:
Relative energy among the computed polymorphs, eV/atom: 0.178
Energy of formation, meV per atom: 86
Spin magnetization, μB per formula unit: 0.00

Cell and atoms, written as CIF:
```
data_CdPIr2
_symmetry_space_group_name_H-M 'P 1 m 1'
_symmetry_Int_Tables_number 6
_symmetry_space_group_name_Hall 'P -2y'
_cell_length_a 2.9453
_cell_length_b 4.4822
_cell_length_c 5.2160
_cell_angle_alpha 90.00
_cell_angle_beta 104.38
_cell_angle_gamma 90.00
loop_
_atom_site_label
_atom_site_type_symbol
_atom_site_fract_x
_atom_site_fract_y
_atom_site_fract_z
Cd1 Cd 0.0000 0.0000 0.0000
P1 P 0.3624 0.5000 0.6727
Ir1 Ir 0.2952 0.0000 0.5244
Ir2 Ir 0.7024 0.5000 0.3144
```


# 10
Below is a geometry-optimized Cd2PIr structure, with properties calculated at the PBE level.

Summary:
Energy of formation, meV per atom: 324
Spin magnetization, μB per formula unit: 0.00

Cell and atoms, written as CIF:
```
data_Cd2PIr
_symmetry_space_group_name_H-M 'I -4 m 2'
_symmetry_Int_Tables_number 119
_symmetry_space_group_name_Hall 'I -4 -2'
_cell_length_a 4.1440
_cell_length_b 4.1440
_cell_length_c 8.1487
_cell_angle_alpha 90.00
_cell_angle_beta 90.00
_cell_angle_gamma 90.00
loop_
_atom_site_label
_atom_site_type_symbol
_atom_site_fract_x
_atom_site_fract_y
_atom_site_fract_z
Cd1 Cd 0.0000 0.0000 0.0000
Cd2 Cd 0.0000 0.5000 0.2500
P1 P 0.0000 0.0000 0.5000
Ir1 Ir 0.0000 0.5000 0.7500
```


# 11
Below is a geometry-optimized CdPIr structure, with properties calculated at the PBE level.

Summary:
Energy of formation, meV per atom: -141
Spin magnetization, μB per formula unit: 0.00

Cell and atoms, written as CIF:
```
data_CdPIr
_symmetry_space_group_name_H-M 'P 3 m 1'
_symmetry_Int_Tables_number 156
_symmetry_space_group_name_Hall 'P 3 -2"'
_cell_length_a 3.2592
_cell_length_b 3.2592
_cell_length_c 6.0545
_cell_angle_alpha 90.00
_cell_angle_beta 90.00
_cell_angle_gamma 120.00
loop_
_atom_site_label
_atom_site_type_symbol
_atom_site_fract_x
_atom_site_fract_y
_atom_site_fract_z
Cd1 Cd 0.0000 0.0000 0.0000
P1 P 0.6667 0.3333 0.5834
Ir1 Ir 0.3333 0.6667 0.3677
```


# 12
Below is a geometry-optimized CdPIr2 structure, with properties calculated at the PBE level.

Summary:
Relative energy among the computed polymorphs, eV/atom: 0.014
Energy of formation, meV per atom: -77
Spin magnetization, μB per formula unit: 0.00

Cell and atoms, written as CIF:
```
data_CdPIr2
_symmetry_space_group_name_H-M 'C m m m'
_symmetry_Int_Tables_number 65
_symmetry_space_group_name_Hall '-C 2 2'
_cell_length_a 4.0674
_cell_length_b 4.1017
_cell_length_c 7.3025
_cell_angle_alpha 90.00
_cell_angle_beta 90.00
_cell_angle_gamma 90.00
loop_
_atom_site_label
_atom_site_type_symbol
_atom_site_fract_x
_atom_site_fract_y
_atom_site_fract_z
Cd1 Cd 0.0000 0.0000 0.0000
P1 P 0.0000 0.0000 0.5000
Ir1 Ir 0.0000 0.5000 0.3019
```


# 13
Below is a geometry-optimized Cd2PIr structure, with properties calculated at the PBE level.

Summary:
Energy of formation, meV per atom: 415
Spin magnetization, μB per formula unit: 0.00

Cell and atoms, written as CIF:
```
data_Cd2PIr
_symmetry_space_group_name_H-M 'F -4 3 m'
_symmetry_Int_Tables_number 216
_symmetry_space_group_name_Hall 'F -4 2 3'
_cell_length_a 6.5529
_cell_length_b 6.5529
_cell_length_c 6.5529
_cell_angle_alpha 90.00
_cell_angle_beta 90.00
_cell_angle_gamma 90.00
loop_
_atom_site_label
_atom_site_type_symbol
_atom_site_fract_x
_atom_site_fract_y
_atom_site_fract_z
Cd1 Cd 0.0000 0.0000 0.0000
Cd2 Cd 0.2500 0.2500 0.2500
P1 P 0.2500 0.2500 0.7500
Ir1 Ir 0.0000 0.0000 0.5000
```


# 14
Below is a geometry-optimized CdPIr2 structure, with properties calculated at the PBE level.

Summary:
Relative energy among the computed polymorphs, eV/atom: 0.024
Energy of formation, meV per atom: -67
Spin magnetization, μB per formula unit: 0.00

Cell and atoms, written as CIF:
```
data_CdPIr2
_symmetry_space_group_name_H-M 'C 1 2/m 1'
_symmetry_Int_Tables_number 12
_symmetry_space_group_name_Hall '-C 2y'
_cell_length_a 6.6387
_cell_length_b 2.9613
_cell_length_c 7.0539
_cell_angle_alpha 90.00
_cell_angle_beta 103.15
_cell_angle_gamma 90.00
loop_
_atom_site_label
_atom_site_type_symbol
_atom_site_fract_x
_atom_site_fract_y
_atom_site_fract_z
Cd1 Cd 0.0000 0.0000 0.0000
P1 P 0.0000 0.5000 0.5000
Ir1 Ir 0.2489 0.5000 0.3204
```


# 15
Below is a geometry-optimized CdPIr3 structure, with properties calculated at the PBE level.

Summary:
Relative energy among the computed polymorphs, eV/atom: 2.284
Energy of formation, meV per atom: 2615
Spin magnetization, μB per formula unit: 2.47

Cell and atoms, written as CIF:
```
data_CdPIr3
_symmetry_space_group_name_H-M 'P m -3 m'
_symmetry_Int_Tables_number 221
_symmetry_space_group_name_Hall '-P 4 2 3'
_cell_length_a 4.8478
_cell_length_b 4.8478
_cell_length_c 4.8478
_cell_angle_alpha 90.00
_cell_angle_beta 90.00
_cell_angle_gamma 90.00
loop_
_atom_site_label
_atom_site_type_symbol
_atom_site_fract_x
_atom_site_fract_y
_atom_site_fract_z
Cd1 Cd 0.0000 0.0000 0.0000
P1 P 0.5000 0.5000 0.5000
Ir1 Ir 0.0000 0.0000 0.5000
```


no.,raw total energy (eV/atom)
1,-4.42
2,-5.65
3,-6.10
4,-3.71
5,-4.08
6,-5.52
7,-4.08
8,-5.15
9,-5.93
10,-3.70
11,-5.20
12,-6.09
13,-3.61
14,-6.08
15,-3.97